1.
The following is a PBE-GGA calculation of an optimized crystal structure of ZnH2SeO4, from the Open Quantum Materials Database.

Summary:
For the total energy, the calculation gives -4.950 eV per atom.

a = 4.747 Å, b = 12.522 Å, c = 5.662 Å
α = 90.00°, β = 91.92°, γ = 90.00°
Fractional coordinates of all 32 atoms:
H (0.188, 0.893, 0.959)
H (0.723, 0.127, 0.773)
H (0.688, 0.607, 0.459)
H (0.312, 0.393, 0.541)
H (0.812, 0.107, 0.041)
H (0.777, 0.627, 0.727)
H (0.277, 0.873, 0.227)
H (0.223, 0.373, 0.273)
O (0.923, 0.331, 0.113)
O (0.085, 0.671, 0.341)
O (0.428, 0.377, 0.874)
O (0.915, 0.329, 0.659)
O (0.928, 0.123, 0.374)
O (0.077, 0.669, 0.887)
O (0.114, 0.893, 0.120)
O (0.415, 0.171, 0.159)
O (0.614, 0.607, 0.620)
O (0.386, 0.393, 0.380)
O (0.585, 0.829, 0.841)
O (0.423, 0.169, 0.613)
O (0.577, 0.831, 0.387)
O (0.886, 0.107, 0.880)
O (0.072, 0.877, 0.626)
O (0.572, 0.623, 0.126)
Se (0.725, 0.909, 0.619)
Se (0.775, 0.409, 0.881)
Se (0.225, 0.591, 0.119)
Se (0.275, 0.091, 0.381)
Zn (0.810, 0.770, 0.124)
Zn (0.190, 0.230, 0.876)
Zn (0.690, 0.270, 0.376)
Zn (0.310, 0.730, 0.624)

***

2.
The following is a PBE-GGA calculation of an optimized crystal structure of LuFeBi2, from the Open Quantum Materials Database.

Summary:
The spin magnetization comes out at 0.241 μB per atom. Its distance to the lowest polymorph of the same formula is 1.6213 eV/atom.

a = 4.431 Å, b = 4.431 Å, c = 4.431 Å
α = 60.00°, β = 60.00°, γ = 60.00°
Each line ends with the local moment (μB).
Fractional coordinates of all 4 atoms:
Bi (0.000, 0.000, 0.000)  0.09
Bi (0.750, 0.750, 0.750)  0.00
Fe (0.500, 0.500, 0.500)  0.99
Lu (0.250, 0.250, 0.250)  -0.07

***

3.
The following is a PBE-GGA calculation of an optimized crystal structure of CdIrPd2, from the Open Quantum Materials Database.

Summary:
The spin magnetization comes out at 0.254 μB per atom. The calculated formation energy is 0.15 eV/atom.

a = 4.520 Å, b = 4.520 Å, c = 4.520 Å
α = 60.00°, β = 60.00°, γ = 60.00°
Each line ends with the local moment (μB).
Fractional coordinates of all 4 atoms:
Cd (0.750, 0.750, 0.750)  -0.01
Ir (0.000, 0.000, 0.000)  0.64
Pd (0.500, 0.500, 0.500)  0.17
Pd (0.250, 0.250, 0.250)  0.24

***

4.
The following is a PBE-GGA calculation of an optimized crystal structure of Rb3NaSb2Au2, from the Open Quantum Materials Database.

Summary:
For the total energy, the calculation gives -2.838 eV per atom.

a = 6.500 Å, b = 6.758 Å, c = 6.845 Å
α = 90.00°, β = 107.20°, γ = 90.00°
Fractional coordinates of all 8 atoms:
Au (0.004, 0.755, 0.987)
Au (0.004, 0.245, 0.987)
Rb (0.161, 0.500, 0.491)
Rb (0.519, 0.500, 0.165)
Rb (0.487, 0.000, 0.846)
Sb (0.744, 0.500, 0.730)
Sb (0.236, 0.000, 0.279)
Na (0.846, 0.000, 0.515)

***

5.
The following is a PBE-GGA calculation of an optimized crystal structure of DyFeRe, from the Open Quantum Materials Database.

Summary:
The spin magnetization comes out at 0.007 μB per atom. The calculated formation energy is 0.58 eV/atom.

a = 4.294 Å, b = 4.294 Å, c = 4.294 Å
α = 60.00°, β = 60.00°, γ = 60.00°
Fractional coordinates of all 3 atoms:
Dy (0.250, 0.250, 0.250)
Fe (0.000, 0.000, 0.000)
Re (0.750, 0.750, 0.750)

***

6.
The following is a PBE-GGA calculation of an optimized crystal structure of TlCuGeSe3, from the Open Quantum Materials Database.

Summary:
Its distance to the lowest polymorph of the same formula is 0.0323 eV/atom.

a = 3.744 Å, b = 7.288 Å, c = 10.706 Å
α = 90.00°, β = 90.00°, γ = 75.12°
Fractional coordinates of all 12 atoms:
Cu (0.426, 0.147, 0.750)
Cu (0.574, 0.853, 0.250)
Se (0.960, 0.080, 0.250)
Se (0.630, 0.739, 0.462)
Se (0.630, 0.739, 0.038)
Se (0.370, 0.261, 0.538)
Se (0.370, 0.261, 0.962)
Se (0.040, 0.920, 0.750)
Tl (0.262, 0.477, 0.250)
Tl (0.738, 0.523, 0.750)
Ge (0.000, 0.000, 0.500)
Ge (0.000, 0.000, 0.000)

***

7.
The following is a PBE-GGA calculation of an optimized crystal structure of DyEr2Mg3Al2Zn, from the Open Quantum Materials Database.

Summary:
The spin magnetization comes out at 0.000 μB per atom. For the total energy, the calculation gives -3.325 eV per atom.

a = 4.443 Å, b = 7.334 Å, c = 7.334 Å
α = 120.20°, β = 90.00°, γ = 90.00°
Fractional coordinates of all 9 atoms:
Er (0.000, 0.580, 0.001)
Er (0.000, 0.001, 0.580)
Al (0.500, 0.333, 0.668)
Al (0.500, 0.668, 0.333)
Zn (0.000, 0.998, 0.998)
Mg (0.500, 0.241, 0.000)
Mg (0.500, 0.759, 0.759)
Mg (0.500, 0.000, 0.241)
Dy (0.000, 0.421, 0.421)

***

8.
The following is a PBE-GGA calculation of an optimized crystal structure of Er3Lu4Ni2S2, from the Open Quantum Materials Database.

Summary:
The spin magnetization comes out at 0.001 μB per atom. For the total energy, the calculation gives -5.523 eV per atom.

a = 8.739 Å, b = 8.739 Å, c = 8.739 Å
α = 155.52°, β = 67.75°, γ = 117.94°
Fractional coordinates of all 11 atoms:
Ni (0.166, 0.928, 0.238)
Ni (0.690, 0.928, 0.762)
Er (0.298, 0.419, 0.879)
Er (0.539, 0.419, 0.121)
Er (0.012, 0.012, 0.000)
S (0.259, 0.759, 0.500)
S (0.671, 0.671, 0.000)
Lu (0.940, 0.625, 0.315)
Lu (0.628, 0.262, 0.366)
Lu (0.311, 0.625, 0.685)
Lu (0.897, 0.262, 0.634)

***

9.
The following is a PBE-GGA calculation of an optimized crystal structure of NaTbPr, from the Open Quantum Materials Database.

Summary:
The spin magnetization comes out at 0.694 μB per atom. For the total energy, the calculation gives -2.815 eV per atom.

a = 5.392 Å, b = 5.392 Å, c = 5.392 Å
α = 60.00°, β = 60.00°, γ = 60.00°
Fractional coordinates of all 3 atoms:
Tb (0.750, 0.750, 0.750)
Pr (0.250, 0.250, 0.250)
Na (0.000, 0.000, 0.000)

***

10.
The following is a PBE-GGA calculation of an optimized crystal structure of TlGe5Mo3, from the Open Quantum Materials Database.

Summary:
The spin magnetization comes out at 0.000 μB per atom. For the total energy, the calculation gives -6.274 eV per atom.

a = 5.337 Å, b = 5.337 Å, c = 7.571 Å
α = 90.00°, β = 90.00°, γ = 120.00°
Fractional coordinates of all 9 atoms:
Ge (0.667, 0.333, 0.795)
Ge (0.333, 0.667, 0.205)
Ge (0.000, 0.000, 0.500)
Ge (0.333, 0.667, 0.795)
Ge (0.667, 0.333, 0.205)
Mo (0.500, 0.000, 0.500)
Mo (0.500, 0.500, 0.500)
Mo (0.000, 0.500, 0.500)
Tl (0.000, 0.000, 0.000)

***

11.
The following is a PBE-GGA calculation of an optimized crystal structure of ZnIrO4, from the Open Quantum Materials Database.

Summary:
The spin magnetization comes out at 0.029 μB per atom. For the total energy, the calculation gives -5.788 eV per atom.

a = 4.445 Å, b = 5.090 Å, c = 5.667 Å
α = 89.42°, β = 89.07°, γ = 87.70°
Each line ends with the local moment (μB).
Fractional coordinates of all 12 atoms:
Ir (0.002, 0.749, 0.154)  0.07
Ir (0.998, 0.251, 0.846)  0.07
O (0.227, 0.566, 0.891)  0.01
O (0.773, 0.434, 0.109)  0.01
O (0.772, 0.933, 0.895)  0.01
O (0.228, 0.067, 0.105)  0.01
O (0.739, 0.404, 0.623)  0.03
O (0.742, 0.906, 0.379)  0.02
O (0.258, 0.094, 0.621)  0.02
O (0.261, 0.596, 0.377)  0.03
Zn (0.497, 0.249, 0.342)  0.00
Zn (0.503, 0.751, 0.658)  0.00

***

12.
The following is a PBE-GGA calculation of an optimized crystal structure of PrMgPb, from the Open Quantum Materials Database.

Summary:
The spin magnetization comes out at 0.001 μB per atom. For the total energy, the calculation gives -3.821 eV per atom.

a = 8.832 Å, b = 8.832 Å, c = 8.832 Å
α = 149.91°, β = 149.91°, γ = 43.07°
Fractional coordinates of all 6 atoms:
Pr (0.663, 0.663, 0.000)
Pr (0.337, 0.337, 0.000)
Mg (0.500, 0.000, 0.500)
Mg (0.000, 0.500, 0.500)
Pb (0.135, 0.135, 0.000)
Pb (0.865, 0.865, 0.000)